1.
A relaxed AlAu4 crystal. Source: OQMD via LeMat-Bulk, functional PBE.

Lattice parameters (Å, degrees): 7.0225 7.0225 7.0225 90.00 90.00 90.00
With the nearest neighbours (Å) after each atom.
Fractional positions:
Au1 0.6998 0.0360 0.8658  3 Al 2.75-3.08, 9 Au 2.89-3.00
Au2 0.1342 0.1998 0.4640  3 Al 2.75-3.08, 9 Au 2.89-3.00
Au3 0.1998 0.4640 0.1342  3 Al 2.75-3.08, 9 Au 2.89-3.00
Au4 0.8002 0.9640 0.3658  3 Al 2.75-3.08, 9 Au 2.89-3.00
Au5 0.9640 0.3658 0.8002  3 Al 2.75-3.08, 9 Au 2.89-3.00
Au6 0.5360 0.6342 0.3002  3 Al 2.75-3.08, 9 Au 2.89-3.00
Au7 0.0676 0.0676 0.0676  3 Al 2.62, 3 Au 2.91
Au8 0.5676 0.4324 0.9324  3 Al 2.62, 3 Au 2.91
Au9 0.4640 0.1342 0.1998  3 Al 2.75-3.08, 9 Au 2.89-3.00
Au10 0.3002 0.5360 0.6342  3 Al 2.75-3.08, 9 Au 2.89-3.00
Au11 0.0360 0.8658 0.6998  3 Al 2.75-3.08, 9 Au 2.89-3.00
Au12 0.3658 0.8002 0.9640  3 Al 2.75-3.08, 9 Au 2.89-3.00
Au13 0.4324 0.9324 0.5676  3 Al 2.62, 3 Au 2.91
Au14 0.9324 0.5676 0.4324  3 Al 2.62, 3 Au 2.91
Au15 0.6342 0.3002 0.5360  3 Al 2.75-3.08, 9 Au 2.89-3.00
Au16 0.8658 0.6998 0.0360  3 Al 2.75-3.08, 9 Au 2.89-3.00
Al1 0.1872 0.8128 0.3128  6 Au 2.62-2.75
Al2 0.8128 0.3128 0.1872  6 Au 2.62-2.75
Al3 0.6872 0.6872 0.6872  6 Au 2.62-2.75
Al4 0.3128 0.1872 0.8128  6 Au 2.62-2.75

Output
raw total energy = -3.578 eV per atom

---

2.
A relaxed Al2Au crystal. Source: OQMD via LeMat-Bulk, functional PBE.

Lattice parameters (Å, degrees): 7.8308 7.8308 7.8308 60.00 60.00 60.00
With the nearest neighbours (Å) after each atom.
Fractional positions:
Al1 0.3750 0.8750 0.3750  2 Au 2.40
Al2 0.3750 0.3750 0.3750  2 Au 2.40
Al3 0.3750 0.3750 0.8750  2 Au 2.40
Al4 0.8750 0.3750 0.3750  2 Au 2.40
Au1 0.2500 0.2500 0.2500  4 Al 2.40
Au2 0.5000 0.5000 0.5000  4 Al 2.40

Output
raw total energy = -3.036 eV per atom

---

3.
A relaxed Al3Au crystal. Source: OQMD via LeMat-Bulk, functional PBE.

Lattice parameters (Å, degrees): 4.0541 4.0541 4.0541 90.00 90.00 90.00
With the nearest neighbours (Å) after each atom.
Fractional positions:
Al1 0.5000 0.5000 0.0000  8 Al 2.87, 4 Au 2.87
Al2 0.0000 0.5000 0.5000  8 Al 2.87, 4 Au 2.87
Al3 0.5000 0.0000 0.5000  8 Al 2.87, 4 Au 2.87
Au1 0.0000 0.0000 0.0000  12 Al 2.87

Output
raw total energy = -3.747 eV per atom